Density functional theory data (GGA-PBE) for crystalline BaPr2Ga at its relaxed geometry.

space group	P4/mmm
ΔE to the lowest computed polymorph	0	meV per atom
formation energy	-168	meV per atom
crystal system	tetragonal

Lattice parameters (Å, degrees): 3.7970 3.7970 10.0059 90.00 90.00 90.00
Closest atoms and distances in Å follow each position.
Positions (direct):
Ba: 0.0000 0.0000 0.0000  4 Ba 3.80, 8 Pr 4.22
Pr: 0.5000 0.5000 0.3258  4 Ga 3.20, 1 Pr 3.49
Pr: 0.5000 0.5000 0.6742  4 Ga 3.20, 1 Pr 3.49
Ga: 0.0000 0.0000 0.5000  8 Pr 3.20